DFT (SCAN) results for K2RbMoAu at its PBEsol-relaxed geometry.

Cell: 5.7025 6.6558 6.6558 Å, 90.00 90.00 90.00°
Last column: nearest neighbours and their distance in Å.
Sites, in units of the cell vectors:
Mo 0.5000 0.5000 0.5000  8 K 4.38, 4 Au 4.71
Au 0.5000 0.0000 0.0000  2 Rb 2.85
K 0.0000 0.0000 0.5000  2 Rb 3.33
K 0.0000 0.5000 0.0000  2 Rb 3.33
Rb 0.0000 0.0000 0.0000  2 Au 2.85

Properties
The calculation puts the calculated total energy at -27.07 eV/atom. Its space group is P4/mmm. The size of the total moment is 5.61 μB per cell. The volume is 252.6 Å³/cell. Its formation energy from the elements is 1218.4 meV/atom. The value obtained for the density of states at the Fermi level is 0.50 states/eV/atom.


DFT (SCAN) results for Li2FeSe at its PBEsol-relaxed geometry.

Cell: 3.6856 3.6856 3.8611 Å, 90.00 90.00 90.00°
Last column: nearest neighbours and their distance in Å.
Sites, in units of the cell vectors:
Fe 0.0000 0.0000 0.5000  4 Se 2.61, 8 Li 2.67
Li 0.0000 0.5000 0.0000  4 Li 2.61, 4 Fe 2.67, 4 Se 2.67
Li 0.5000 0.0000 0.0000  4 Li 2.61, 4 Se 2.67, 4 Fe 2.67
Se 0.5000 0.5000 0.5000  4 Fe 2.61, 8 Li 2.67

Properties
As for the formation energy without anion corrections: -341 meV per atom. The calculation puts the calculated total energy at -11.09 eV/atom. Its space group is P4/mmm. The size of the total moment is 2.76 μB per cell. The volume is 52.4 Å³/cell. The value obtained for the density of states at the Fermi level is 0.39 states/eV/atom.


DFT (SCAN) results for AlSeSCl2 at its PBEsol-relaxed geometry.

Cell: 4.4389 4.4389 5.0090 Å, 90.00 90.00 90.00°
Last column: nearest neighbours and their distance in Å.
Sites, in units of the cell vectors:
S 0.0000 0.0000 0.5000  2 Al 2.50
Al 0.0000 0.0000 0.0000  4 Cl 2.22
Se 0.5000 0.5000 0.5000  4 S 3.14, 8 Cl 3.35
Cl 0.0000 0.5000 0.0000  2 Al 2.22
Cl 0.5000 0.0000 0.0000  2 Al 2.22

Properties
As for the formation energy without anion corrections: -348 meV per atom. The calculation puts the calculated total energy at -11.03 eV/atom. Its space group is P4/mmm. The size of the total moment is 0.90 μB per cell. The volume is 98.7 Å³/cell. The value obtained for the density of states at the Fermi level is 0.41 states/eV/atom.


DFT (SCAN) results for Rb2CaHgAu at its PBEsol-relaxed geometry.

Cell: 5.7048 6.3592 6.3592 Å, 90.00 90.00 90.00°
Last column: nearest neighbours and their distance in Å.
Sites, in units of the cell vectors:
Ca 0.5000 0.0000 0.0000  2 Au 2.85
Au 0.0000 0.0000 0.0000  2 Ca 2.85, 4 Rb 3.18
Hg 0.5000 0.5000 0.5000  8 Rb 4.27, 4 Ca 4.50
Rb 0.0000 0.0000 0.5000  2 Au 3.18
Rb 0.0000 0.5000 0.0000  2 Au 3.18

Properties
The calculation puts the calculated total energy at -37.85 eV/atom. Its space group is P4/mmm. The size of the total moment is 0.00 μB per cell. The volume is 230.7 Å³/cell. Its formation energy from the elements is -157.0 meV/atom. The value obtained for the density of states at the Fermi level is 0.70 states/eV/atom.


DFT (SCAN) results for AlNiCl2 at its PBEsol-relaxed geometry.

Cell: 3.2308 3.2308 8.1180 Å, 78.52 78.52 60.00°
Last column: nearest neighbours and their distance in Å.
Sites, in units of the cell vectors:
Ni 0.5042 0.5042 0.4873  3 Cl 2.30, 3 Al 2.48
Al 0.2398 0.2398 0.2806  3 Cl 2.48, 3 Ni 2.48
Cl 0.9753 0.9753 0.0742  3 Al 2.48
Cl 0.7807 0.7807 0.6580  3 Ni 2.30

Properties
As for the formation energy without anion corrections: -681 meV per atom. The calculation puts the calculated total energy at -10.65 eV/atom. Its space group is R3m. The size of the total moment is 1.00 μB per cell. The volume is 71.4 Å³/cell. The value obtained for the density of states at the Fermi level is 0.82 states/eV/atom.


DFT (SCAN) results for ZrHg5 at its PBEsol-relaxed geometry.

Cell: 3.2221 6.7435 6.3064 Å, 103.45 90.00 103.82°
Last column: nearest neighbours and their distance in Å.
Sites, in units of the cell vectors:
Hg 0.0337 0.0674 0.0559  2 Zr 3.03, 10 Hg 3.05-3.23
Hg 0.3629 0.7259 0.2138  10 Hg 3.08-3.23, 2 Zr 3.08
Hg 0.6945 0.3889 0.3889  10 Hg 3.05-3.22, 2 Zr 3.15
Hg 0.0259 0.0519 0.5639  10 Hg 3.08-3.23, 2 Zr 3.08
Hg 0.3552 0.7104 0.7220  2 Zr 3.03, 10 Hg 3.05-3.23
Zr 0.6944 0.3889 0.8889  10 Hg 3.03-3.15, 2 Zr 3.22

Properties
The calculation puts the calculated total energy at -61.97 eV/atom. Its space group is C2/m. The size of the total moment is 0.00 μB per cell. The volume is 129.2 Å³/cell. Its formation energy from the elements is -53.6 meV/atom. The value obtained for the density of states at the Fermi level is 0.51 states/eV/atom.


DFT (SCAN) results for KPW2 at its PBEsol-relaxed geometry.

Cell: 2.9736 2.9736 9.7599 Å, 81.24 81.24 60.00°
Last column: nearest neighbours and their distance in Å.
Sites, in units of the cell vectors:
K 0.5084 0.5084 0.4747  6 K 2.97, 3 P 3.13
P 0.2658 0.2658 0.2027  3 W 2.42
W 0.9918 0.9918 0.0247  3 P 2.42
W 0.7340 0.7340 0.7979  9 W 2.77-2.97

Properties
The calculation puts the calculated total energy at -38.99 eV/atom. Its space group is R3m. The size of the total moment is 0.00 μB per cell. The volume is 73.6 Å³/cell. Its formation energy from the elements is 535.6 meV/atom. The value obtained for the density of states at the Fermi level is 0.27 states/eV/atom.


DFT (SCAN) results for Y2HgSb at its PBEsol-relaxed geometry.

Cell: 5.2566 5.2566 5.2566 Å, 60.00 60.00 60.00°
Last column: nearest neighbours and their distance in Å.
Sites, in units of the cell vectors:
Hg 0.5000 0.5000 0.5000  4 Sb 3.22, 4 Y 3.22
Sb 0.2500 0.2500 0.2500  4 Y 3.22, 4 Hg 3.22
Y 0.0000 0.0000 0.0000  4 Y 3.22, 4 Sb 3.22
Y 0.7500 0.7500 0.7500  4 Y 3.22, 4 Hg 3.22

Properties
As for the formation energy without anion corrections: -121 meV per atom. The calculation puts the calculated total energy at -40.40 eV/atom. Its space group is F-43m. The size of the total moment is 0.00 μB per cell. The volume is 102.7 Å³/cell. The value obtained for the density of states at the Fermi level is 1.01 states/eV/atom.